VASP calculation (PBE) on crystalline LaCuN2 at its relaxed geometry.

Cell lengths 5.930, 5.930, 5.930 Å; angles 90.00, 90.00, 90.00 degrees
Space group Fm-3m (No. 225)
Unique sites:
1 La 0.000 0.000 0.000 [4 per cell]
2 Cu 0.000 0.000 0.500 [4 per cell]
3 N 0.250 0.250 0.250 [8 per cell]

Total magnetization: 0.00 μB per atom
DOS(E_F): 28.0 states/eV/cell
ΔE_f (raw): 0.276 eV per atom